This record from Alexandria describes RbFeIO2 after structural relaxation. The functional is GGA+U.

Summary:
Crystal system ... tetragonal
Energy relative to the lowest polymorph listed for this composition ... 1.2145 eV/atom
M_tot ... 5.049 μB per formula unit

Cell: 4.495 4.495 6.792 Å, 90.00 90.00 90.00°
Sites, in units of the cell vectors:
1 Rb 0.000 0.000 0.000
2 Fe 0.500 0.500 0.500
3 I 0.000 0.000 0.500
4 O 0.000 0.500 0.000
5 O 0.500 0.000 0.000